{
  "formula": "Pr4Nd2Dy5",
  "functional": "PBE",
  "state": "optimized geometry",
  "dos_at_fermi_per_ev_cell": 15.45,
  "total_magnetization_mub_per_fu": 0.0,
  "de_polymorph_ev_per_atom": 0.154,
  "e_form_mev_per_atom": 254,
  "cell": [[3.5448, 0.0000, 0.0000], [0.0000, 9.3333, 0.0000], [-1.7724, -4.6666, 11.6357]],
  "species": ["Pr", "Dy", "Dy", "Nd", "Pr", "Dy", "Nd", "Pr", "Dy", "Dy", "Pr"],
  "fractional_positions": [[0.0000, 0.2937, 0.0000], [0.5000, 0.0000, 0.0000], [0.8552, 0.0498, 0.7104], [0.2691, 0.2691, 0.5383], [0.4040, 0.4040, 0.8080], [0.1448, 0.9502, 0.2896], [0.7309, 0.7309, 0.4617], [0.0000, 0.7063, 0.0000], [0.8552, 0.6606, 0.7104], [0.1448, 0.3394, 0.2896], [0.5960, 0.5960, 0.1920]]
}

{
  "formula": "SrRhI3",
  "functional": "PBE",
  "state": "optimized geometry",
  "dos_at_fermi_per_ev_cell": 1.39,
  "total_magnetization_mub_per_fu": 0.0,
  "de_polymorph_ev_per_atom": 0.000,
  "formation_energy_uncorrected_mev_per_atom": -678,
  "cell": [[5.4866, 0.0000, 0.0000], [0.0000, 5.4866, 0.0000], [0.0000, 0.0000, 5.4866]],
  "species": ["Sr", "Rh", "I", "I", "I"],
  "fractional_positions": [[0.5000, 0.5000, 0.5000], [0.0000, 0.0000, 0.0000], [0.0000, 0.0000, 0.5000], [0.5000, 0.0000, 0.0000], [0.0000, 0.5000, 0.0000]]
}

{
  "formula": "YO2F4",
  "functional": "PBE",
  "state": "optimized geometry",
  "total_magnetization_mub_per_fu": 5.0,
  "formation_energy_uncorrected_mev_per_atom": -1650,
  "cell": [[3.8585, 0.0120, -0.6027], [-0.1223, 3.7981, -0.9015], [-0.5821, -0.0814, 6.7782]],
  "species": ["F", "F", "O", "Y", "F", "O", "F"],
  "fractional_positions": [[0.4225, 0.9289, 0.8070], [0.0703, 0.5778, 0.1930], [0.1975, 0.1968, 0.5692], [0.0000, 0.0000, 0.0000], [0.9297, 0.4222, 0.8070], [0.8025, 0.8032, 0.4308], [0.5775, 0.0711, 0.1930]]
}

{
  "formula": "CdIn2Ni",
  "functional": "PBE",
  "state": "optimized geometry",
  "dos_at_fermi_per_ev_cell": 2.27,
  "total_magnetization_mub_per_fu": 0.0,
  "e_form_mev_per_atom": 175,
  "cell": [[4.2931, 0.6898, 0.0000], [-0.6796, 4.2947, 0.0000], [0.0000, 0.0000, 4.1925]],
  "species": ["In", "Ni", "In", "Cd"],
  "fractional_positions": [[0.0000, 0.0000, 0.0000], [0.5000, 0.0000, 0.5000], [0.5000, 0.5000, 0.0000], [0.0000, 0.5000, 0.5000]]
}

{
  "formula": "La2CdFe",
  "functional": "PBE",
  "state": "optimized geometry",
  "dos_at_fermi_per_ev_cell": 3.58,
  "total_magnetization_mub_per_fu": 0.4,
  "e_form_mev_per_atom": 24,
  "cell": [[3.7121, 0.0000, 0.0000], [0.0000, 4.9403, -0.0011], [0.0000, 2.4699, 5.7918]],
  "species": ["Fe", "La", "La", "Cd"],
  "fractional_positions": [[0.5000, 0.5037, 0.8678], [0.0000, 0.9960, 0.8828], [0.5000, 0.3110, 0.2530], [0.0000, 0.6893, 0.4965]]
}

{
  "formula": "CuTcRh2",
  "functional": "PBE",
  "state": "optimized geometry",
  "dos_at_fermi_per_ev_cell": 5.13,
  "total_magnetization_mub_per_fu": 0.0,
  "de_polymorph_ev_per_atom": 0.336,
  "e_form_mev_per_atom": 269,
  "cell": [[2.7266, 0.0000, 0.0000], [0.0000, 4.6029, 0.0000], [0.0000, 0.0000, 4.4830]],
  "species": ["Rh", "Cu", "Tc", "Rh"],
  "fractional_positions": [[0.5000, 0.5000, 0.0000], [0.0000, 0.5000, 0.5000], [0.5000, 0.0000, 0.5000], [0.0000, 0.0000, 0.0000]]
}

{
  "formula": "Sm2GdSb",
  "functional": "PBE",
  "state": "optimized geometry",
  "dos_at_fermi_per_ev_cell": 5.79,
  "total_magnetization_mub_per_fu": 8.4,
  "de_polymorph_ev_per_atom": 0.028,
  "formation_energy_uncorrected_mev_per_atom": -501,
  "cell": [[-2.5231, -1.4300, 2.9196], [3.0014, -2.4449, 1.3963], [2.1710, 5.1877, 4.4169]],
  "species": ["Sm", "Gd", "Sm", "Sb"],
  "fractional_positions": [[0.0000, 0.0000, 0.7234], [0.5000, 0.5000, 0.0000], [0.0000, 0.0000, 0.2766], [0.5000, 0.5000, 0.5000]]
}

{
  "formula": "TaFeBr",
  "functional": "PBE",
  "state": "optimized geometry",
  "dos_at_fermi_per_ev_cell": 2.59,
  "total_magnetization_mub_per_fu": 0.6,
  "de_polymorph_ev_per_atom": 0.493,
  "formation_energy_uncorrected_mev_per_atom": 707,
  "cell": [[-2.2457, 2.9444, 2.0727], [-1.4507, -1.5901, -3.6573], [-1.4311, -2.1489, 1.5020]],
  "species": ["Fe", "Ta", "Br"],
  "fractional_positions": [[0.6667, 0.3333, 0.1657], [0.3333, 0.6667, 0.6675], [0.0000, 0.0000, 0.1669]]
}